A crystal of Y5In relaxed with PBEsol. Source: Alexandria, functional SCAN.

Structure (extended XYZ):
```
6
Lattice="4.792 0.000 0.000 0.000 4.791 0.000 0.000 2.395 7.465" Properties=species:S:1:pos:R:3 pbc="T T T"
In 0.000 2.395 0.000
Y 0.000 2.395 5.063
Y 2.396 2.395 2.493
Y 2.396 4.791 4.972
Y 0.000 4.791 2.401
Y 2.396 0.000 0.000
```

ΔH_f (0 K) = -0.216 eV/atom
energy above the most stable polymorph in this dataset = 0 kJ/mol of formula units
density = 5.419 g/cm³
V = 171.4 Å³/cell

A crystal of YZnIn relaxed with PBEsol. Source: Alexandria, functional SCAN.

Structure (extended XYZ):
```
3
Lattice="3.583 0.000 0.000 0.000 4.586 0.000 0.000 -2.293 3.972" Properties=species:S:1:pos:R:3 pbc="T T T"
Zn 0.595 0.000 2.648
In 0.598 0.000 0.000
Y 2.390 2.293 1.324
```

ΔH_f (0 K) = -0.599 eV/atom
density = 6.846 g/cm³
V = 65.3 Å³/cell

A crystal of YZnIn2 relaxed with PBEsol. Source: Alexandria, functional SCAN.

Structure (extended XYZ):
```
4
Lattice="-1.470 -4.073 0.929 3.292 -0.530 2.889 -2.546 1.649 3.204" Properties=species:S:1:pos:R:3 pbc="T T T"
In -1.273 0.825 1.602
In 1.646 -0.265 1.444
Y -0.362 -1.477 3.511
Zn -0.735 -2.037 0.464
```

ΔH_f (0 K) = -0.495 eV/atom
density = 7.395 g/cm³
V = 86.2 Å³/cell

A crystal of YZnIn2 relaxed with PBEsol. Source: Alexandria, functional SCAN.

Structure (extended XYZ):
```
4
Lattice="4.404 0.000 0.000 0.000 4.409 0.000 -2.202 -2.205 4.589" Properties=species:S:1:pos:R:3 pbc="T T T"
In 2.202 2.205 4.581
In 2.202 0.000 2.294
Zn 0.000 2.205 2.299
Y 2.202 2.205 0.004
```

ΔH_f (0 K) = -0.345 eV/atom
density = 7.154 g/cm³
V = 89.1 Å³/cell